No. 1
Here is a relaxed La2SbP crystal from the Alexandria database. Energies are from PBE-GGA.

Calculated values
* formation energy (no corrections): -1.333 eV per atom
* energy above the most stable polymorph in this dataset: 0.25 eV per formula unit
* total moment: 0.00 μB per formula unit
* DOS(E_F): 0.716 states/eV/f.u.

Lattice parameters (Å, degrees): 4.4642 4.4642 6.3221 90.00 90.00 90.00
With the nearest neighbours (Å) after each atom.
Space group P4/mmm (No. 123)
One atom of each set of equivalent atoms:
La1 0.0000 0.0000 0.0000 x1  4 P 3.16, 2 Sb 3.16
La2 0.5000 0.5000 0.5000 x1  4 Sb 3.16, 2 P 3.16
Sb1 0.0000 0.0000 0.5000 x1  6 La 3.16
P1 0.5000 0.5000 0.0000 x1  6 La 3.16

No. 2
Here is a relaxed La3SbP2 crystal from the Alexandria database. Energies are from PBE-GGA.

Calculated values
* formation energy (no corrections): -1.433 eV per atom
* total moment: 0.00 μB per formula unit
* DOS(E_F): 1.223 states/eV/f.u.

Lattice parameters (Å, degrees): 4.3645 6.2507 13.2160 90.00 90.00 90.00
With the nearest neighbours (Å) after each atom.
Space group Immm (No. 71)
One atom of each set of equivalent atoms:
La1 0.0000 0.0000 0.0000 x2  4 P 3.08, 2 Sb 3.13
La2 0.0000 0.0000 0.3197 x4  4 P 2.99-3.13, 2 Sb 3.23
Sb1 0.0000 0.5000 0.0000 x2  6 La 3.13-3.23
P1 0.0000 0.5000 0.3353 x4  6 La 2.99-3.13

No. 3
Here is a relaxed LaSbP2 crystal from the Alexandria database. Energies are from PBE-GGA.

Calculated values
* formation energy (no corrections): -0.610 eV per atom
* total moment: 0.00 μB per formula unit
* DOS(E_F): 0.051 states/eV/f.u.

Lattice parameters (Å, degrees): 4.1442 4.1442 20.4881 90.00 90.00 120.00
With the nearest neighbours (Å) after each atom.
Space group R-3m (No. 166, hexagonal axes)
One atom of each set of equivalent atoms:
La1 0.0000 0.0000 0.0000 x3  6 P 2.98
Sb1 0.0000 0.0000 0.5000 x3  6 P 2.90
P1 0.0000 0.0000 0.2469 x6  3 Sb 2.90, 3 La 2.98

No. 4
Here is a relaxed La6SbP4 crystal from the Alexandria database. Energies are from PBE-GGA.

Calculated values
* formation energy (no corrections): -1.424 eV per atom
* total moment: 0.81 μB per formula unit
* DOS(E_F): 4.332 states/eV/f.u.

Lattice parameters (Å, degrees): 4.3180 14.0296 21.7540 90.00 90.00 90.00
With the nearest neighbours (Å) after each atom.
Space group Cmcm (No. 63)
One atom of each set of equivalent atoms:
La1 0.0000 0.0000 0.0000 x4  6 P 3.02-3.04
La2 0.0000 0.1665 0.2500 x4  2 P 2.90, 2 Sb 3.23
La3 0.0000 0.2733 0.5810 x8  5 P 2.94-3.04
La4 0.0000 0.4582 0.1579 x8  3 P 2.87-2.94
Sb1 0.0000 0.1621 0.7500 x4  6 La 3.23-3.39
P1 0.0000 0.0912 0.1256 x8  6 La 2.90-3.04
P2 0.0000 0.3622 0.0415 x8  6 La 2.87-3.04

No. 5
Here is a relaxed LaSb2P crystal from the Alexandria database. Energies are from PBE-GGA.

Calculated values
* formation energy (no corrections): -0.298 eV per atom
* total moment: 0.00 μB per formula unit
* DOS(E_F): 2.532 states/eV/f.u.

Lattice parameters (Å, degrees): 4.5760 5.6860 8.1643 90.00 90.00 90.00
With the nearest neighbours (Å) after each atom.
Space group Cmm2 (No. 35)
One atom of each set of equivalent atoms:
La1 0.0000 0.0000 0.0000 x2  2 P 2.84
Sb1 0.0000 0.0000 0.4281 x2  2 P 2.92, 2 Sb 3.22
Sb2 0.0000 0.5000 0.7049 x2  2 Sb 3.22, 2 La 3.32
P1 0.0000 0.5000 0.2050 x2  2 La 2.84, 2 Sb 2.92

No. 6
Here is a relaxed LaSb2P crystal from the Alexandria database. Energies are from PBE-GGA.

Calculated values
* formation energy (no corrections): -0.544 eV per atom
* total moment: 0.00 μB per formula unit
* DOS(E_F): 0.530 states/eV/f.u.

Lattice parameters (Å, degrees): 11.6856 4.0745 4.8109 90.00 95.46 90.00
With the nearest neighbours (Å) after each atom.
Space group Cm (No. 8)
One atom of each set of equivalent atoms:
La1 0.0000 0.0000 0.0000 x2  6 Sb 3.22-3.44, 3 P 3.28-3.30
Sb1 0.0605 0.5000 0.5155 x2  1 Sb 2.82
Sb2 0.2963 0.5000 0.4334 x2  2 P 2.69, 1 Sb 2.82
P1 0.2823 0.0000 0.0681 x2  2 Sb 2.69

No. 7
Here is a relaxed La2SbP crystal from the Alexandria database. Energies are from PBE-GGA.

Calculated values
* formation energy (no corrections): -1.151 eV per atom
* energy above the most stable polymorph in this dataset: 0.98 eV per formula unit
* total moment: 0.00 μB per formula unit
* DOS(E_F): 1.222 states/eV/f.u.

Lattice parameters (Å, degrees): 3.8576 4.1722 15.3523 90.00 90.00 90.00
With the nearest neighbours (Å) after each atom.
Space group Imm2 (No. 44)
One atom of each set of equivalent atoms:
La1 0.0000 0.0000 0.0000 x2  4 P 3.06, 2 Sb 3.31
La2 0.0000 0.5000 0.2237 x2  2 P 2.99, 4 Sb 3.30
Sb1 0.0000 0.5000 0.8324 x2  6 La 3.30-3.31
P1 0.0000 0.0000 0.5745 x2  6 La 2.99-3.06

No. 8
Here is a relaxed La4SbP3 crystal from the Alexandria database. Energies are from PBE-GGA.

Calculated values
* formation energy (no corrections): -1.456 eV per atom
* total moment: 0.00 μB per formula unit
* DOS(E_F): 1.432 states/eV/f.u.

Lattice parameters (Å, degrees): 4.3457 6.1962 8.7622 90.00 90.00 90.00
With the nearest neighbours (Å) after each atom.
Space group Pmmm (No. 47)
One atom of each set of equivalent atoms:
La1 0.0000 0.0000 0.0000 x1  6 P 3.06-3.10
La2 0.0000 0.0000 0.5000 x1  2 Sb 3.10, 4 P 3.11
La3 0.5000 0.5000 0.2326 x2  4 P 2.98-3.10, 2 Sb 3.20
Sb1 0.0000 0.5000 0.5000 x1  6 La 3.10-3.20
P1 0.0000 0.5000 0.0000 x1  6 La 2.98-3.10
P2 0.5000 0.0000 0.2466 x2  6 La 3.06-3.11